VASP calculation (PBE) on an optimized crystal structure of BaHfCd3.

Lattice parameters (Å, degrees): 5.6077 5.6077 5.6077 90.00 90.00 90.00
Last column: nearest neighbours and their distance in Å.
Fractional coordinates of all 5 atoms:
1 Hf 0.0000 0.0000 0.0000  6 Cd 2.80
2 Cd 0.0000 0.5000 0.0000  2 Hf 2.80
3 Cd 0.0000 0.0000 0.5000  2 Hf 2.80
4 Cd 0.5000 0.0000 0.0000  2 Hf 2.80
5 Ba 0.5000 0.5000 0.5000  12 Cd 3.97

Summary:
Distance to the lowest polymorph of the same formula in meV/atom: 0
DFT formation energy in meV/atom: 311
N(E_F) in states/eV/atom: 1.49

VASP calculation (PBE) on an optimized crystal structure of Ba3HfCd.

Lattice parameters (Å, degrees): 6.3198 6.3198 6.3198 90.00 90.00 90.00
Last column: nearest neighbours and their distance in Å.
Fractional coordinates of all 5 atoms:
1 Hf 0.0000 0.0000 0.0000  6 Ba 3.16
2 Ba 0.0000 0.5000 0.0000  2 Hf 3.16
3 Ba 0.0000 0.0000 0.5000  2 Hf 3.16
4 Ba 0.5000 0.0000 0.0000  2 Hf 3.16
5 Cd 0.5000 0.5000 0.5000  12 Ba 4.47

Summary:
Distance to the lowest polymorph of the same formula in meV/atom: 0
DFT formation energy in meV/atom: 695
N(E_F) in states/eV/atom: 0.94

VASP calculation (PBE) on an optimized crystal structure of BaHfCd.

Lattice parameters (Å, degrees): 5.3330 5.3330 5.3330 60.00 60.00 60.00
Last column: nearest neighbours and their distance in Å.
Fractional coordinates of all 3 atoms:
1 Hf 0.2500 0.2500 0.2500  4 Cd 3.27
2 Cd 0.0000 0.0000 0.0000  4 Ba 3.27, 4 Hf 3.27
3 Ba 0.7500 0.7500 0.7500  4 Cd 3.27

Summary:
Distance to the lowest polymorph of the same formula in meV/atom: 714
DFT formation energy in meV/atom: 790
N(E_F) in states/eV/atom: 1.65

VASP calculation (PBE) on an optimized crystal structure of BaHfCd.

Lattice parameters (Å, degrees): 3.5193 3.5194 14.6149 89.99 90.00 90.00
Last column: nearest neighbours and their distance in Å.
Fractional coordinates of all 6 atoms:
1 Hf 0.7001 0.1155 0.7328  4 Hf 3.07, 4 Cd 3.08
2 Hf 0.2001 0.6157 0.6093  4 Hf 3.07
3 Ba 0.7002 0.1149 0.0354  4 Ba 3.52, 8 Cd 3.60-3.65
4 Ba 0.7001 0.1157 0.4010  4 Ba 3.52, 4 Cd 3.65, 4 Hf 3.93
5 Cd 0.2005 0.6147 0.2185  4 Cd 3.52, 8 Ba 3.65
6 Cd 0.2002 0.6151 0.8571  4 Hf 3.08

Summary:
Distance to the lowest polymorph of the same formula in meV/atom: 0
DFT formation energy in meV/atom: 77
N(E_F) in states/eV/atom: 1.01

VASP calculation (PBE) on an optimized crystal structure of BaHfCd.

Lattice parameters (Å, degrees): 3.4584 9.9332 6.0676 115.12 89.97 79.99
Last column: nearest neighbours and their distance in Å.
Fractional coordinates of all 6 atoms:
1 Hf 0.3690 0.9164 0.8887  2 Hf 3.02, 2 Cd 3.09
2 Hf 0.9324 0.7897 0.1651  2 Hf 3.02, 2 Cd 3.09
3 Ba 0.0466 0.5598 0.4932  2 Ba 3.46, 6 Cd 3.52-3.68, 4 Hf 3.59-3.71
4 Ba 0.2547 0.1463 0.5606  2 Ba 3.46, 6 Cd 3.52-3.68, 4 Hf 3.59-3.71
5 Cd 0.7240 0.2067 0.0997  2 Hf 3.09, 3 Cd 3.34-3.46
6 Cd 0.5774 0.4993 0.9542  2 Hf 3.09, 3 Cd 3.34-3.46

Summary:
Distance to the lowest polymorph of the same formula in meV/atom: 164
DFT formation energy in meV/atom: 241
N(E_F) in states/eV/atom: 0.82

VASP calculation (PBE) on an optimized crystal structure of BaHf2CdN.

Lattice parameters (Å, degrees): 5.5287 6.1458 5.5287 90.00 90.00 90.00
Last column: nearest neighbours and their distance in Å.
Fractional coordinates of all 5 atoms:
1 Hf 0.0000 0.0000 0.5000  2 Ba 2.76
2 Hf 0.5000 0.0000 0.0000  2 Ba 2.76
3 Cd 0.0000 0.5000 0.0000  2 Ba 3.07
4 Ba 0.0000 0.0000 0.0000  4 Hf 2.76, 2 Cd 3.07
5 N 0.5000 0.5000 0.5000  4 Cd 3.91, 8 Hf 4.13

Summary:
N(E_F) in states/eV/atom: 0.94
Energy relative to the elements, uncorrected in eV/atom: 2.904

VASP calculation (PBE) on an optimized crystal structure of BaHfCd2Ni.

Lattice parameters (Å, degrees): 5.1849 4.8550 5.1849 90.00 90.00 90.00
Last column: nearest neighbours and their distance in Å.
Fractional coordinates of all 5 atoms:
1 Ni 0.0000 0.0000 0.0000  2 Hf 2.43, 4 Cd 2.59
2 Cd 0.0000 0.0000 0.5000  2 Ni 2.59
3 Cd 0.5000 0.0000 0.0000  2 Ni 2.59
4 Hf 0.0000 0.5000 0.0000  2 Ni 2.43
5 Ba 0.5000 0.5000 0.5000  8 Cd 3.55, 4 Hf 3.67

Summary:
DFT formation energy in meV/atom: 87
N(E_F) in states/eV/atom: 0.72

VASP calculation (PBE) on an optimized crystal structure of Ba2HfCd2O6.

Lattice parameters (Å, degrees): 6.3920 6.3920 6.7403 61.70 61.70 60.00
Last column: nearest neighbours and their distance in Å.
Fractional coordinates of all 11 atoms:
1 O 0.2249 0.7927 0.7574  1 Cd 2.10, 1 Hf 2.10
2 O 0.7751 0.7751 0.2426  1 Cd 2.10, 1 Hf 2.10
3 O 0.7751 0.2073 0.2426  1 Cd 2.10, 1 Hf 2.10
4 O 0.7927 0.2249 0.7574  1 Cd 2.10, 1 Hf 2.10
5 O 0.2249 0.2249 0.7574  1 Cd 2.10, 1 Hf 2.10
6 O 0.2073 0.7751 0.2426  1 Cd 2.10, 1 Hf 2.10
7 Cd 0.4120 0.4120 0.7640  3 O 2.10
8 Cd 0.5880 0.5880 0.2360  3 O 2.10
9 Hf 0.0000 0.0000 0.0000  6 O 2.10
10 Ba 0.7928 0.7928 0.6215  3 O 2.67
11 Ba 0.2072 0.2072 0.3785  3 O 2.67

Summary:
N(E_F) in states/eV/atom: 0.00
Energy relative to the elements, uncorrected in eV/atom: -2.155

VASP calculation (PBE) on an optimized crystal structure of Ba3HfCd2O8.

Lattice parameters (Å, degrees): 6.0575 6.0575 7.9605 90.00 90.00 120.00
Last column: nearest neighbours and their distance in Å.
Fractional coordinates of all 14 atoms:
1 O 0.3155 0.1578 0.6564  1 Hf 2.07, 1 Cd 2.19
2 O 0.8422 0.6845 0.6564  1 Hf 2.07, 1 Cd 2.19
3 O 0.6845 0.8422 0.3436  1 Hf 2.07, 1 Cd 2.19
4 O 0.1578 0.8422 0.3436  1 Hf 2.07, 1 Cd 2.19
5 O 0.3333 0.6667 0.9374  1 Cd 2.05
6 O 0.1578 0.3155 0.3436  1 Hf 2.07, 1 Cd 2.19
7 O 0.8422 0.1578 0.6564  1 Hf 2.07, 1 Cd 2.19
8 O 0.6667 0.3333 0.0626  1 Cd 2.05
9 Ba 0.6667 0.3333 0.3732  1 O 2.47
10 Ba 0.0000 0.0000 0.0000  12 O 3.20-3.53
11 Ba 0.3333 0.6667 0.6268  1 O 2.47
12 Cd 0.3333 0.6667 0.1948  4 O 2.05-2.19
13 Cd 0.6667 0.3333 0.8052  4 O 2.05-2.19
14 Hf 0.0000 0.0000 0.5000  6 O 2.07

Summary:
N(E_F) in states/eV/atom: 1.01
Energy relative to the elements, uncorrected in eV/atom: -2.022

VASP calculation (PBE) on an optimized crystal structure of Ba4Hf3CdO12.

Lattice parameters (Å, degrees): 7.3450 7.3450 7.3450 109.47 109.47 109.47
Last column: nearest neighbours and their distance in Å.
Fractional coordinates of all 20 atoms:
1 Ba 0.0000 0.0000 0.5000  12 O 3.00
2 Ba 0.0000 0.5000 0.0000  12 O 3.00
3 Ba 0.5000 0.5000 0.5000  12 O 3.00
4 Ba 0.5000 0.0000 0.0000  12 O 3.00
5 O 0.2500 0.5000 0.7500  2 Hf 2.12
6 O 0.2609 0.2609 0.0000  1 Hf 2.03, 1 Cd 2.21
7 O 0.2500 0.7500 0.5000  2 Hf 2.12
8 O 0.7500 0.5000 0.2500  2 Hf 2.12
9 O 0.5000 0.2500 0.7500  2 Hf 2.12
10 O 0.2609 0.0000 0.2609  1 Hf 2.03, 1 Cd 2.21
11 O 0.7500 0.2500 0.5000  2 Hf 2.12
12 O 0.7391 0.7391 0.0000  1 Hf 2.03, 1 Cd 2.21
13 O 0.7391 0.0000 0.7391  1 Hf 2.03, 1 Cd 2.21
14 O 0.0000 0.7391 0.7391  1 Hf 2.03, 1 Cd 2.21
15 O 0.5000 0.7500 0.2500  2 Hf 2.12
16 O 0.0000 0.2609 0.2609  1 Hf 2.03, 1 Cd 2.21
17 Cd 0.0000 0.0000 0.0000  6 O 2.21
18 Hf 0.5000 0.0000 0.5000  6 O 2.03-2.12
19 Hf 0.0000 0.5000 0.5000  6 O 2.03-2.12
20 Hf 0.5000 0.5000 0.0000  6 O 2.03-2.12

Summary:
N(E_F) in states/eV/atom: 0.75
Energy relative to the elements, uncorrected in eV/atom: -2.824

VASP calculation (PBE) on an optimized crystal structure of BaHfZr2Cd.

Lattice parameters (Å, degrees): 5.2786 5.3355 5.2786 90.00 90.00 90.00
Last column: nearest neighbours and their distance in Å.
Fractional coordinates of all 5 atoms:
1 Ba 0.0000 0.0000 0.0000  4 Zr 2.64, 2 Hf 2.67
2 Zr 0.0000 0.0000 0.5000  2 Ba 2.64
3 Zr 0.5000 0.0000 0.0000  2 Ba 2.64
4 Cd 0.5000 0.5000 0.5000  4 Hf 3.73, 8 Zr 3.75
5 Hf 0.0000 0.5000 0.0000  2 Ba 2.67

Summary:
DFT formation energy in meV/atom: 1771
N(E_F) in states/eV/atom: 1.70

VASP calculation (PBE) on an optimized crystal structure of BaCd3Hg2.

Lattice parameters (Å, degrees): 4.5776 9.5515 8.9315 114.54 90.00 103.86
Last column: nearest neighbours and their distance in Å.
Fractional coordinates of all 12 atoms:
1 Cd 0.9523 0.9045 0.6006  3 Hg 2.94-3.15, 3 Cd 3.01-3.22
2 Cd 0.5922 0.1845 0.6776  3 Hg 2.98-3.02, 5 Cd 3.18-3.31
3 Cd 0.6877 0.3753 0.4544  4 Hg 2.96-3.25, 3 Cd 3.10-3.18
4 Cd 0.4078 0.8155 0.3224  3 Hg 2.98-3.02, 5 Cd 3.18-3.31
5 Cd 0.0477 0.0955 0.3994  3 Hg 2.94-3.15, 3 Cd 3.01-3.22
6 Cd 0.3123 0.6247 0.5456  4 Hg 2.96-3.25, 3 Cd 3.10-3.18
7 Ba 0.1423 0.2846 0.0567  7 Hg 3.49-3.71, 2 Cd 3.86
8 Ba 0.8577 0.7154 0.9433  7 Hg 3.49-3.71, 2 Cd 3.86
9 Hg 0.5256 0.0512 0.1776  1 Hg 2.90, 4 Cd 2.94-2.98
10 Hg 0.7934 0.5868 0.2721  6 Cd 3.02-3.25
11 Hg 0.4744 0.9488 0.8224  1 Hg 2.90, 4 Cd 2.94-2.98
12 Hg 0.2066 0.4132 0.7279  6 Cd 3.02-3.25

Summary:
Distance to the lowest polymorph of the same formula in meV/atom: 0
DFT formation energy in meV/atom: -270
N(E_F) in states/eV/atom: 0.60

Energy
In order: -2.6135; -2.6320; -3.4733; -4.1869; -4.0231; -3.3102; -3.8109; -6.2801; -6.1091; -7.7218; -4.2062; -1.1491
Unit: eV/atom